Tl5HgSe2 (GGA-PBE, relaxed); VASP energy = -21.0 eV for the cell shown
1.0
-1.776 3.443 -1.958
3.970 -1.528 -6.286
-6.995 -5.492 1.499
Tl Se Hg
5 2 1
Cartesian
0.491 -0.662 -6.422 Tl
1.985 -0.764 -3.143 Tl
-3.290 -3.684 -3.493 Tl
-5.292 -2.913 -0.324 Tl
-1.511 0.108 -3.252 Tl
-0.498 -2.673 -4.248 Se
-4.303 -0.903 -2.498 Se
0.000 0.000 0.000 Hg



TlHg2Se (GGA-PBE, relaxed); VASP energy = -13.4 eV for the cell shown
1.0
8.258 0.000 0.000
0.000 8.258 0.000
4.129 4.129 3.258
Hg Tl Se
4 2 2
Cartesian
10.322 10.097 2.443 Hg
5.968 2.064 0.814 Hg
6.193 6.418 2.443 Hg
2.290 6.193 0.814 Hg
8.258 4.129 1.629 Tl
0.000 0.000 0.000 Tl
4.129 4.129 0.000 Se
4.129 8.258 1.629 Se



Tl2HgSe (GGA-PBE, relaxed); VASP energy = -9.4 eV for the cell shown
1.0
3.835 -0.005 0.000
0.022 3.835 0.000
0.000 0.000 8.635
Hg Tl Se
1 2 1
Cartesian
1.928 1.915 2.159 Hg
0.000 0.000 4.751 Tl
0.000 0.000 8.202 Tl
1.928 1.915 6.476 Se



TlHg2Se (GGA-PBE, relaxed); VASP energy = -6.7 eV for the cell shown
1.0
4.248 0.000 0.000
0.000 4.248 0.000
0.000 0.000 6.408
Se Hg Tl
1 2 1
Cartesian
2.124 0.000 3.204 Se
2.124 2.124 0.000 Hg
0.000 0.000 0.000 Hg
0.000 2.124 3.204 Tl



Tm2Tl3HgSe6 (GGA-PBE, relaxed); VASP energy = -48.4 eV for the cell shown
1.0
7.236 -0.014 0.000
-3.628 6.261 0.000
-1.203 -2.084 7.488
Se Tl Hg Tm
6 3 1 2
Cartesian
2.484 -0.005 1.584 Se
3.650 2.014 5.904 Se
2.376 4.114 1.573 Se
0.028 0.049 5.914 Se
-1.246 2.149 1.584 Se
-0.080 4.168 5.904 Se
4.807 0.000 3.744 Tl
-2.402 4.163 3.744 Tl
1.202 2.082 3.744 Tl
0.000 0.000 0.000 Hg
3.622 2.073 0.000 Tm
-0.014 4.174 0.000 Tm



TmTl2HgSe4 (GGA-PBE, relaxed); VASP energy = -29.3 eV for the cell shown
1.0
-2.476 3.306 0.383
-4.293 -3.808 5.120
2.634 1.182 6.822
Hg Se Tl Tm
1 4 2 1
Cartesian
-0.750 0.931 9.573 Hg
-1.068 -1.821 8.815 Se
-3.596 -0.762 5.800 Se
-3.067 2.501 3.510 Se
-0.539 1.443 6.524 Se
0.079 2.244 3.602 Tl
2.634 1.182 6.822 Tl
-0.830 -1.313 5.971 Tm



Sequential total moment output: 0.0 0.0 0.0 0.0 0.0 0.0 μB per cell